# 1
DFT (PBE) results for an optimized crystal structure of Zn2FeIr.

Cell and atoms, written as POSCAR:
```
Zn2FeIr
1.0
-0.077 -0.678 -2.583
-1.712 -1.310 1.579
-5.908 6.027 -1.406
Fe Ir Zn
1 1 2
Direct
0.500 0.500 0.250 Fe
0.500 0.500 0.750 Ir
0.000 0.000 0.494 Zn
0.000 0.000 0.006 Zn
```

=====

# 2
DFT (PBE) results for an optimized crystal structure of Sm5ThIn6.

Cell and atoms, written as POSCAR:
```
Sm5ThIn6
1.0
-5.059 0.854 -1.781
-1.730 -7.333 1.399
1.073 5.227 7.738
Sm In Th
5 6 1
Direct
0.661 0.161 0.321 Sm
0.670 0.670 0.340 Sm
0.339 0.839 0.679 Sm
0.330 0.330 0.660 Sm
0.000 0.500 0.000 Sm
0.500 0.738 0.000 In
0.169 0.425 0.338 In
0.169 0.913 0.338 In
0.831 0.575 0.662 In
0.500 0.262 0.000 In
0.831 0.087 0.662 In
0.000 0.000 0.000 Th
```

=====

Number 1: ΔH_f (0 K) 0.03 eV/atom, final energy -0.3630 Ry/atom. Number 2: ΔH_f (0 K) -0.44 eV/atom, final energy -0.3230 Ry/atom.